# PBE-GGA AcNd4Dy2, relaxed
data_AcNd4Dy2
_cell_length_a 6.867
_cell_length_b 9.328
_cell_length_c 9.334
_cell_angle_alpha 91.50
_cell_angle_beta 110.97
_cell_angle_gamma 110.62
_space_group_name_H-M_alt 'P 1'
_space_group_IT_number 1
_space_group_name_Hall 'P 1'
loop_
_atom_site_label
_atom_site_type_symbol
_atom_site_fract_x
_atom_site_fract_y
_atom_site_fract_z
Ac1 Ac 0.000 0.000 0.000
Ac2 Ac 0.496 0.115 0.879
Nd1 Nd 0.194 0.642 0.628
Nd2 Nd 0.335 0.434 0.941
Nd3 Nd 0.376 0.774 0.107
Nd4 Nd 0.382 0.342 0.575
Nd5 Nd 0.691 0.745 0.522
Nd6 Nd 0.831 0.059 0.316
Nd7 Nd 0.877 0.227 0.658
Nd8 Nd 0.887 0.695 0.223
Dy1 Dy 0.100 0.415 0.218
Dy2 Dy 0.350 0.986 0.430
Dy3 Dy 0.605 0.342 0.300
Dy4 Dy 0.848 0.550 0.865
# * energy above the most stable polymorph in this dataset: 0.000 eV per atom
# * ΔH_f (0 K): 0.159 eV per atom
# * density of states at the Fermi level: 1.49 states/eV per atom

# PBE-GGA LiScAlBi2, relaxed
data_LiScAlBi2
_cell_length_a 5.527
_cell_length_b 5.527
_cell_length_c 5.183
_cell_angle_alpha 90.00
_cell_angle_beta 90.00
_cell_angle_gamma 90.00
_space_group_name_H-M_alt 'P 4/m m m'
_space_group_IT_number 123
_space_group_name_Hall '-P 4 2'
loop_
_atom_site_label
_atom_site_type_symbol
_atom_site_fract_x
_atom_site_fract_y
_atom_site_fract_z
Li1 Li 0.000 0.000 0.000
Sc1 Sc 0.500 0.500 0.000
Al1 Al 0.500 0.500 0.500
Bi1 Bi 0.000 0.500 0.500
# * ΔH_f (0 K): 0.302 eV per atom
# * density of states at the Fermi level: 0.60 states/eV per atom

# PBE-GGA TlRu2, relaxed
data_TlRu2
_cell_length_a 4.4445
_cell_length_b 4.4445
_cell_length_c 2.9882
_cell_angle_alpha 90.00
_cell_angle_beta 90.00
_cell_angle_gamma 120.00
_space_group_name_H-M_alt 'P 6/m m m'
_space_group_IT_number 191
_space_group_name_Hall '-P 6 2'
loop_
_atom_site_label
_atom_site_type_symbol
_atom_site_fract_x
_atom_site_fract_y
_atom_site_fract_z
Tl1 Tl 0.0000 0.0000 0.0000
Ru1 Ru 0.3333 0.6667 0.5000
# * energy above the most stable polymorph in this dataset: 0.274 eV per atom
# * ΔH_f (0 K): 0.684 eV per atom
# * density of states at the Fermi level: 1.37 states/eV per atom

Question: What is the ΔH_f (0 K) in the first record?
Answer: 0.159 eV per atom

Please write out number 1 again, unchanged.
# PBE-GGA AcNd4Dy2, relaxed
data_AcNd4Dy2
_cell_length_a 6.867
_cell_length_b 9.328
_cell_length_c 9.334
_cell_angle_alpha 91.50
_cell_angle_beta 110.97
_cell_angle_gamma 110.62
_space_group_name_H-M_alt 'P 1'
_space_group_IT_number 1
_space_group_name_Hall 'P 1'
loop_
_atom_site_label
_atom_site_type_symbol
_atom_site_fract_x
_atom_site_fract_y
_atom_site_fract_z
Ac1 Ac 0.000 0.000 0.000
Ac2 Ac 0.496 0.115 0.879
Nd1 Nd 0.194 0.642 0.628
Nd2 Nd 0.335 0.434 0.941
Nd3 Nd 0.376 0.774 0.107
Nd4 Nd 0.382 0.342 0.575
Nd5 Nd 0.691 0.745 0.522
Nd6 Nd 0.831 0.059 0.316
Nd7 Nd 0.877 0.227 0.658
Nd8 Nd 0.887 0.695 0.223
Dy1 Dy 0.100 0.415 0.218
Dy2 Dy 0.350 0.986 0.430
Dy3 Dy 0.605 0.342 0.300
Dy4 Dy 0.848 0.550 0.865
# * energy above the most stable polymorph in this dataset: 0.000 eV per atom
# * ΔH_f (0 K): 0.159 eV per atom
# * density of states at the Fermi level: 1.49 states/eV per atom

Question: Which of these has the lowest density of states at the Fermi level?
Answer: LiScAlBi2